! MgIr2Ru, optimized geometry, DFT PBE; values from VASP
&SYSTEM
  ibrav = 0, nat = 4, ntyp = 3
/
ATOMIC_SPECIES
Mg 24.30 Mg.upf
Ir 192.22 Ir.upf
Ru 101.07 Ru.upf
CELL_PARAMETERS angstrom
1.388 0.801 8.955
-1.388 0.801 8.955
0.000 -1.602 8.955
ATOMIC_POSITIONS crystal
Mg 0.000 0.000 0.000
Ir 0.249 0.249 0.249
Ir 0.499 0.499 0.499
Ru 0.753 0.753 0.753
! Theoretical density = 14.17 g/cm3
! Crystal system = trigonal
! E_form = 0.039 eV per atom

=====

! PmAlZn, optimized geometry, DFT PBE; values from VASP
&SYSTEM
  ibrav = 0, nat = 6, ntyp = 3
/
ATOMIC_SPECIES
Pm 145.00 Pm.upf
Al 26.98 Al.upf
Zn 65.41 Zn.upf
CELL_PARAMETERS angstrom
5.296 -2.281 0.000
5.296 2.281 0.000
-5.083 0.000 5.433
ATOMIC_POSITIONS crystal
Pm 0.036 0.036 0.290
Pm 0.964 0.964 0.710
Al 0.336 0.336 0.888
Al 0.664 0.664 0.112
Zn 0.336 0.336 0.283
Zn 0.664 0.664 0.717
! Energy above the most stable polymorph in this dataset = 0.000 eV per atom
! Theoretical density = 6.01 g/cm3
! Crystal system = monoclinic
! E_form = -0.443 eV per atom

=====

! Tl5Sn4Bi2, optimized geometry, DFT PBE; values from VASP
&SYSTEM
  ibrav = 0, nat = 11, ntyp = 3
/
ATOMIC_SPECIES
Tl 204.38 Tl.upf
Sn 118.71 Sn.upf
Bi 208.98 Bi.upf
CELL_PARAMETERS angstrom
11.877 -1.707 0.000
11.877 1.707 0.000
-1.305 0.000 8.414
ATOMIC_POSITIONS crystal
Tl 0.000 0.000 0.000
Tl 0.318 0.318 0.543
Tl 0.365 0.365 0.946
Tl 0.635 0.635 0.054
Tl 0.682 0.682 0.457
Sn 0.082 0.082 0.692
Sn 0.457 0.457 0.629
Sn 0.543 0.543 0.371
Sn 0.918 0.918 0.308
Bi 0.219 0.219 0.808
Bi 0.781 0.781 0.192
! Theoretical density = 9.32 g/cm3
! Crystal system = monoclinic
! E_form = 0.035 eV per atom

=====

! Y2PtPb, optimized geometry, DFT PBE; values from VASP
&SYSTEM
  ibrav = 0, nat = 4, ntyp = 3
/
ATOMIC_SPECIES
Y 88.91 Y.upf
Pt 195.08 Pt.upf
Pb 207.20 Pb.upf
CELL_PARAMETERS angstrom
4.445 0.000 0.000
0.000 2.026 5.720
0.000 -2.026 5.720
ATOMIC_POSITIONS crystal
Y 0.000 0.000 0.000
Y 0.500 0.290 0.290
Pt 0.000 0.748 0.748
Pb 0.500 0.571 0.571
! Theoretical density = 9.35 g/cm3
! Crystal system = orthorhombic
! E_form = -0.826 eV per atom

=====

! Sm5ScAl6, optimized geometry, DFT PBE; values from VASP
&SYSTEM
  ibrav = 0, nat = 12, ntyp = 3
/
ATOMIC_SPECIES
Sm 150.36 Sm.upf
Sc 44.96 Sc.upf
Al 26.98 Al.upf
CELL_PARAMETERS angstrom
-2.580 3.599 7.733
2.580 -3.599 7.733
2.580 3.599 -7.733
ATOMIC_POSITIONS crystal
Sm 0.000 0.000 0.000
Sm 0.161 0.661 0.500
Sm 0.323 0.323 0.000
Sm 0.677 0.677 0.000
Sm 0.839 0.339 0.500
Sc 0.500 0.000 0.500
Al 0.108 0.841 0.267
Al 0.283 0.500 0.783
Al 0.426 0.159 0.267
Al 0.574 0.841 0.733
Al 0.717 0.500 0.217
Al 0.892 0.159 0.733
! Theoretical density = 5.54 g/cm3
! Crystal system = orthorhombic
! E_form = -0.375 eV per atom

=====

! Ac3HgPb2, optimized geometry, DFT PBE; values from VASP
&SYSTEM
  ibrav = 0, nat = 12, ntyp = 3
/
ATOMIC_SPECIES
Ac 227.00 Ac.upf
Hg 200.59 Hg.upf
Pb 207.20 Pb.upf
CELL_PARAMETERS angstrom
8.932 -3.476 0.000
8.932 3.476 0.000
-1.548 0.000 6.810
ATOMIC_POSITIONS crystal
Ac 0.154 0.846 0.750
Ac 0.220 0.437 0.388
Ac 0.437 0.220 0.888
Ac 0.563 0.780 0.112
Ac 0.780 0.563 0.612
Ac 0.846 0.154 0.250
Hg 0.360 0.640 0.250
Hg 0.640 0.360 0.750
Pb 0.056 0.261 0.044
Pb 0.261 0.056 0.544
Pb 0.739 0.944 0.456
Pb 0.944 0.739 0.956
! Energy above the most stable polymorph in this dataset = 0.057 eV per atom
! Theoretical density = 10.18 g/cm3
! Crystal system = monoclinic
! E_form = -0.432 eV per atom

=====

Q: Which of these has the lowest E_form?
A: Y2PtPb

=====

Q: The highest E_form belongs to which entry?
A: MgIr2Ru

=====

Q: What is the theoretical density in the sixth record?
A: 10.18 g/cm3

=====

Q: Which of these has the highest E_form?
A: MgIr2Ru